Record 1
A plane-wave DFT calculation with PBE was carried out for TaPd7 after structural relaxation.

abc: 3.9794 3.9794 8.3390
angles: 103.80 103.80 90.00
With the nearest neighbours (Å) after each atom.
Atoms (fractional coordinates):
Pd 0.3792 0.8792 0.7583  10 Pd 2.75-2.86, 2 Ta 2.75
Pd 0.8792 0.3792 0.7583  2 Ta 2.75, 10 Pd 2.75-2.86
Pd 0.7479 0.7479 0.4957  12 Pd 2.81-2.86
Pd 0.6208 0.1208 0.2417  10 Pd 2.75-2.86, 2 Ta 2.75
Pd 0.1208 0.6208 0.2417  2 Ta 2.75, 10 Pd 2.75-2.86
Pd 0.5000 0.5000 0.0000  8 Pd 2.75, 4 Ta 2.81
Pd 0.2521 0.2521 0.5043  12 Pd 2.81-2.86
Ta 0.0000 0.0000 0.0000  12 Pd 2.75-2.81

Computed properties:
- Theoretical density: 12.4 g/cm³
- V: 124.3 Å³ per cell
- Formation energy: -0.32 eV per atom

***

Record 2
A plane-wave DFT calculation with PBE was carried out for ZnCuAu3 after structural relaxation.

abc: 4.6954 4.6760 7.9377
angles: 86.18 72.82 77.10
With the nearest neighbours (Å) after each atom.
Atoms (fractional coordinates):
Au 0.9542 0.3434 0.8080  4 Cu 2.76-2.78, 4 Zn 2.76-2.77, 4 Au 2.90-2.92
Au 0.6480 0.8443 0.4234  2 Cu 2.74, 2 Zn 2.76, 7 Au 2.91-2.95
Cu 0.5526 0.3445 0.6114  8 Au 2.74-2.78, 3 Zn 2.91-2.95
Cu 0.8584 0.8442 0.0031  8 Au 2.74-2.78, 3 Zn 2.91-2.95
Zn 0.0535 0.8431 0.6140  8 Au 2.74-2.77, 3 Cu 2.91-2.95
Au 0.7631 0.3444 0.1911  2 Cu 2.74, 2 Zn 2.76, 7 Au 2.91-2.95
Au 0.4570 0.8454 0.8065  4 Cu 2.76-2.78, 4 Zn 2.76-2.77, 4 Au 2.90-2.92
Au 0.2651 0.8449 0.1891  2 Cu 2.74, 2 Zn 2.74, 7 Au 2.90-2.95
Au 0.1459 0.3439 0.4255  2 Cu 2.74, 2 Zn 2.74, 7 Au 2.90-2.95
Zn 0.3577 0.3458 0.0006  8 Au 2.74-2.77, 3 Cu 2.91-2.95

Computed properties:
- Energy relative to the lowest polymorph listed for this composition: 0.0 meV/atom
- Theoretical density: 14.7 g/cm³
- V: 162.3 Å³ per cell
- Formation energy: -0.12 eV per atom

***

Record 3
A plane-wave DFT calculation with PBE was carried out for TlCo2Re after structural relaxation.

abc: 2.7665 3.5165 6.1430
angles: 90.00 90.00 90.00
With the nearest neighbours (Å) after each atom.
Atoms (fractional coordinates):
Tl 0.5000 0.5000 0.7734  2 Tl 2.77, 5 Co 2.79-2.92, 4 Re 3.06
Co 0.0000 0.0000 0.0436  1 Re 2.40, 4 Co 2.57
Re 0.0000 0.0000 0.4337  5 Co 2.40-2.51
Co 0.5000 0.5000 0.2493  4 Re 2.51, 6 Co 2.57-2.77

Computed properties:
- Energy relative to the lowest polymorph listed for this composition: 198.9 meV/atom
- Theoretical density: 14.1 g/cm³
- V: 59.8 Å³ per cell
- Formation energy: 0.58 eV per atom

***

Record 4
A plane-wave DFT calculation with PBE was carried out for InFeSb2 after structural relaxation.

abc: 5.0269 5.0269 4.2818
angles: 77.56 77.56 105.69
With the nearest neighbours (Å) after each atom.
Atoms (fractional coordinates):
Fe 0.5000 0.0000 0.5000  4 Sb 2.93, 2 In 3.04
Sb 0.0000 0.0000 0.0000  2 In 2.93, 2 Fe 2.93, 2 Sb 3.04
In 0.0000 0.5000 0.5000  4 Sb 2.93, 2 Fe 3.04
Sb 0.5000 0.5000 0.0000  2 Fe 2.93, 2 In 2.93, 2 Sb 3.04

Computed properties:
- Theoretical density: 7.1 g/cm³
- V: 97.3 Å³ per cell
- Formation energy without anion corrections: 0.457 eV/atom

***

Record 5
A plane-wave DFT calculation with PBE was carried out for HoErTmMg after structural relaxation.

abc: 5.4456 5.4456 5.4456
angles: 60.00 60.00 60.00
With the nearest neighbours (Å) after each atom.
Atoms (fractional coordinates):
Mg 0.0000 0.0000 0.0000  4 Ho 3.33, 4 Er 3.33
Tm 0.5000 0.5000 0.5000  4 Er 3.33, 4 Ho 3.33
Ho 0.7500 0.7500 0.7500  4 Tm 3.33, 4 Mg 3.33
Er 0.2500 0.2500 0.2500  4 Mg 3.33, 4 Tm 3.33

Computed properties:
- Energy relative to the lowest polymorph listed for this composition: 67.8 meV/atom
- Theoretical density: 7.6 g/cm³
- V: 114.2 Å³ per cell
- Formation energy: 0.05 eV per atom

***

Record 6
A plane-wave DFT calculation with PBE was carried out for Pm3Al4Cu2 after structural relaxation.

abc: 4.5151 5.8643 8.5934
angles: 110.11 90.00 112.64
With the nearest neighbours (Å) after each atom.
Atoms (fractional coordinates):
Al 0.2684 0.5368 0.9252  1 Cu 2.60, 2 Al 2.70
Pm 0.3233 0.6466 0.3504  4 Cu 3.10-3.26, 7 Al 3.13-3.30
Al 0.0263 0.0526 0.3605  2 Cu 2.60, 1 Al 2.66
Pm 0.0000 0.0000 0.0000  8 Al 3.00-3.25, 4 Cu 3.09
Al 0.9737 0.9474 0.6395  2 Cu 2.60, 1 Al 2.66
Cu 0.5919 0.1838 0.2634  3 Al 2.60
Pm 0.6767 0.3534 0.6496  4 Cu 3.10-3.26, 7 Al 3.13-3.30
Cu 0.4081 0.8162 0.7366  3 Al 2.60
Al 0.7316 0.4632 0.0748  1 Cu 2.60, 2 Al 2.70

Computed properties:
- Energy relative to the lowest polymorph listed for this composition: 0.0 meV/atom
- Theoretical density: 5.7 g/cm³
- V: 194.9 Å³ per cell
- Formation energy: -0.40 eV per atom

***

Record 7
A plane-wave DFT calculation with PBE was carried out for Hf3Zn4Cu4 after structural relaxation.

abc: 3.9395 6.5803 7.7144
angles: 115.25 104.79 90.00
With the nearest neighbours (Å) after each atom.
Atoms (fractional coordinates):
Hf 0.0000 0.5000 0.0000  6 Cu 2.84-2.95
Cu 0.5000 0.1889 0.0000  2 Zn 2.42, 1 Cu 2.49
Hf 0.8812 0.8812 0.7624  6 Cu 2.82-2.92, 6 Zn 2.90-3.09
Cu 0.7800 0.2800 0.5600  6 Zn 2.44-2.47
Cu 0.2200 0.7200 0.4400  6 Zn 2.44-2.47
Hf 0.1188 0.1188 0.2376  6 Cu 2.82-2.92, 6 Zn 2.90-3.09
Zn 0.3285 0.5240 0.6570  4 Cu 2.42-2.47, 1 Zn 2.57
Zn 0.6715 0.4760 0.3430  4 Cu 2.42-2.47, 1 Zn 2.57
Zn 0.6715 0.8670 0.3430  4 Cu 2.42-2.47, 1 Zn 2.57
Zn 0.3285 0.1330 0.6570  4 Cu 2.42-2.47, 1 Zn 2.57
Cu 0.5000 0.8111 0.0000  2 Zn 2.42, 1 Cu 2.49

Computed properties:
- Energy relative to the lowest polymorph listed for this composition: 52.2 meV/atom
- Theoretical density: 10.1 g/cm³
- V: 173.5 Å³ per cell
- Formation energy: -0.10 eV per atom

***

Record 8
A plane-wave DFT calculation with PBE was carried out for Mg2Zn3Ag2 after structural relaxation.

abc: 4.4359 5.1068 6.5727
angles: 108.68 90.00 115.74
With the nearest neighbours (Å) after each atom.
Atoms (fractional coordinates):
Ag 0.8523 0.7047 0.8017  5 Zn 2.66-2.77, 4 Mg 2.80-2.93
Zn 0.5000 0.0000 0.0000  2 Zn 2.62, 4 Ag 2.68
Ag 0.1477 0.2953 0.1983  5 Zn 2.66-2.77, 4 Mg 2.80-2.93
Mg 0.1414 0.2827 0.7499  4 Ag 2.80-2.93, 6 Zn 2.90-3.12
Zn 0.6111 0.2222 0.4271  2 Zn 2.55-2.62, 3 Ag 2.66-2.77
Mg 0.8586 0.7173 0.2501  4 Ag 2.80-2.93, 6 Zn 2.90-3.12
Zn 0.3889 0.7778 0.5729  2 Zn 2.55-2.62, 3 Ag 2.66-2.77

Computed properties:
- Energy relative to the lowest polymorph listed for this composition: 0.0 meV/atom
- Theoretical density: 6.1 g/cm³
- V: 125.3 Å³ per cell
- Formation energy: -0.12 eV per atom